[1]
First-principles (PBE) data for a relaxed K2RhPb crystal, as listed in the Alexandria database.

a b c (Å): 5.3599 5.3599 5.3599
angles (deg): 120.07 120.07 89.88
Sites, in units of the cell vectors:
K: 0.0000 0.0000 0.0000
K: 0.7500 0.2500 0.5000
Rh: 0.5000 0.5000 0.0000
Pb: 0.2500 0.7500 0.5000

Formation energy from the elements (meV per atom): 347
V (Å³ per cell): 108.8

***

[2]
First-principles (PBE) data for a relaxed PmBiBr crystal, as listed in the Alexandria database.

a b c (Å): 5.2252 5.2252 3.7586
angles (deg): 90.00 90.00 120.00
Sites, in units of the cell vectors:
Pm: 0.0000 0.0000 0.0000
Bi: 0.6667 0.3333 0.5000
Br: 0.3333 0.6667 0.0000

Excess energy over the best structure of this formula in the dataset (eV/atom): 0.271
V (Å³ per cell): 88.9
E_form (uncorrected) (meV/atom): -879

***

[3]
First-principles (PBE) data for a relaxed NaLi2Zn crystal, as listed in the Alexandria database.

a b c (Å): 10.3936 10.3936 10.3936
angles (deg): 156.45 156.45 33.55
Sites, in units of the cell vectors:
Na: 0.0000 0.0000 0.0000
Na: 0.7500 0.2500 0.5000
Li: 0.1609 0.6250 0.0359
Li: 0.3750 0.4109 0.5359
Li: 0.5891 0.1250 0.9641
Li: 0.8750 0.8391 0.4641
Zn: 0.2500 0.7500 0.5000
Zn: 0.5000 0.5000 0.0000

Formation energy from the elements (meV per atom): 125
V (Å³ per cell): 179.1

***

[4]
First-principles (PBE) data for a relaxed AcCe2Er crystal, as listed in the Alexandria database.

a b c (Å): 5.8183 5.8183 5.8183
angles (deg): 60.00 60.00 60.00
Sites, in units of the cell vectors:
Ac: 0.0000 0.0000 0.0000
Ce: 0.2500 0.2500 0.2500
Ce: 0.7500 0.7500 0.7500
Er: 0.5000 0.5000 0.5000

Formation energy from the elements (meV per atom): 306
Excess energy over the best structure of this formula in the dataset (eV/atom): 0.156
V (Å³ per cell): 139.3

***

[5]
First-principles (PBE) data for a relaxed Ho4MgSe7 crystal, as listed in the Alexandria database.

a b c (Å): 6.8640 6.8640 12.0324
angles (deg): 104.25 104.25 33.46
Sites, in units of the cell vectors:
Ho: 0.0000 0.0000 0.0000
Ho: 0.1927 0.1927 0.7669
Ho: 0.5806 0.5806 0.3659
Ho: 0.8866 0.8866 0.5633
Mg: 0.7709 0.7709 0.1462
Se: 0.1526 0.1526 0.2160
Se: 0.2251 0.2251 0.5189
Se: 0.3819 0.3819 0.0703
Se: 0.5473 0.5473 0.6193
Se: 0.6296 0.6296 0.9270
Se: 0.8494 0.8494 0.7832
Se: 0.9224 0.9224 0.3455

V (Å³ per cell): 302.0
E_form (uncorrected) (meV/atom): -1743

***

[6]
First-principles (PBE) data for a relaxed Nd2Dy3Th2 crystal, as listed in the Alexandria database.

a b c (Å): 9.0015 9.0015 8.6636
angles (deg): 118.75 118.75 22.18
Sites, in units of the cell vectors:
Nd: 0.0627 0.0627 0.2157
Nd: 0.9373 0.9373 0.7843
Dy: 0.2838 0.2838 0.3655
Dy: 0.5000 0.5000 0.5000
Dy: 0.7162 0.7162 0.6345
Th: 0.3457 0.3457 0.0448
Th: 0.6543 0.6543 0.9552

Formation energy from the elements (meV per atom): 144
Excess energy over the best structure of this formula in the dataset (eV/atom): 0.109
V (Å³ per cell): 231.0